(1)
# GGA-PBE SrZnCo, relaxed
# Magnetic moment = 0.70 μB/f.u.
data_SrZnCo
_symmetry_space_group_name_H-M 'F -4 3 m'
_symmetry_Int_Tables_number 216
_symmetry_space_group_name_Hall 'F -4 2 3'
_cell_length_a 6.557
_cell_length_b 6.557
_cell_length_c 6.557
_cell_angle_alpha 90.00
_cell_angle_beta 90.00
_cell_angle_gamma 90.00
loop_
_atom_site_label
_atom_site_type_symbol
_atom_site_fract_x
_atom_site_fract_y
_atom_site_fract_z
Sr1 Sr 0.000 0.000 0.000
Zn1 Zn 0.000 0.000 0.500
Co1 Co 0.250 0.250 0.250

---

(2)
# GGA-PBE SrZrCo, relaxed
# Magnetic moment = 0.01 μB/f.u.
data_SrZrCo
_symmetry_space_group_name_H-M 'F -4 3 m'
_symmetry_Int_Tables_number 216
_symmetry_space_group_name_Hall 'F -4 2 3'
_cell_length_a 6.633
_cell_length_b 6.633
_cell_length_c 6.633
_cell_angle_alpha 90.00
_cell_angle_beta 90.00
_cell_angle_gamma 90.00
loop_
_atom_site_label
_atom_site_type_symbol
_atom_site_fract_x
_atom_site_fract_y
_atom_site_fract_z
Sr1 Sr 0.000 0.000 0.000
Zr1 Zr 0.000 0.000 0.500
Co1 Co 0.250 0.250 0.250

---

(3)
# GGA-PBE Ta10Co3, relaxed
# Magnetic moment = 0.30 μB/f.u.
# Energy of formation from the pure elements = 0.284 eV per atom
data_Ta10Co3
_symmetry_space_group_name_H-M 'R -3 m'
_symmetry_Int_Tables_number 166
_symmetry_space_group_name_Hall '-R 3 2"'
_cell_length_a 5.3536
_cell_length_b 5.3536
_cell_length_c 27.0904
_cell_angle_alpha 90.00
_cell_angle_beta 90.00
_cell_angle_gamma 120.00
loop_
_atom_site_label
_atom_site_type_symbol
_atom_site_fract_x
_atom_site_fract_y
_atom_site_fract_z
Ta1 Ta 0.0000 0.0000 0.0466
Ta2 Ta 0.0000 0.0000 0.3322
Ta3 Ta 0.0037 0.5018 0.9030
Co1 Co 0.0000 0.0000 0.1408
Co2 Co 0.0000 0.0000 0.5000

---

Total DFT energy (no corrections) in eV/atom, matching the order above: -2.91 -5.22 -10.47